No. 1
Compound: RbP2Au2
Source: Alexandria via LeMat-Bulk
Functional: PBE-GGA
Structure: relaxed

```
data_RbP2Au2
_chemical_formula_sum 'Rb2 P4 Au4'
_symmetry_space_group_name_H-M 'P 4/m b m'
_symmetry_Int_Tables_number 127
_symmetry_space_group_name_Hall '-P 4 2ab'
_cell_length_a 8.425
_cell_length_b 8.425
_cell_length_c 2.904
_cell_angle_alpha 90.00
_cell_angle_beta 90.00
_cell_angle_gamma 90.00
loop_
_atom_site_label
_atom_site_type_symbol
_atom_site_fract_x
_atom_site_fract_y
_atom_site_fract_z
Rb1 Rb 0.000 0.000 0.000
P1 P 0.155 0.345 0.500
Au1 Au 0.135 0.635 0.000
```

## Properties
* raw total energy: -3.3817 eV per atom
* spin magnetization: 0.000 μB per atom
* DFT formation energy: 287 meV per atom

No. 2
Compound: Pr2AlGePd6
Source: Alexandria via LeMat-Bulk
Functional: PBE-GGA
Structure: relaxed

```
data_Pr2AlGePd6
_chemical_formula_sum 'Pr4 Al2 Ge2 Pd12'
_symmetry_space_group_name_H-M 'C 1 2/m 1'
_symmetry_Int_Tables_number 12
_cell_length_a 11.911
_cell_length_b 5.561
_cell_length_c 8.485
_cell_angle_alpha 90.00
_cell_angle_beta 134.41
_cell_angle_gamma 90.00
loop_
_symmetry_equiv_pos_as_xyz
'x,y,z'
'-x,-y,-z'
'-x,y,-z'
'x,-y,z'
'x+1/2,y+1/2,z'
'-x+1/2,-y+1/2,-z'
'-x+1/2,y+1/2,-z'
'x+1/2,-y+1/2,z'
loop_
_atom_site_label
_atom_site_type_symbol
_atom_site_fract_x
_atom_site_fract_y
_atom_site_fract_z
Pr1 Pr 0.250 0.000 0.229
Al1 Al 0.000 0.500 0.000
Ge1 Ge 0.000 0.000 0.500
Pd1 Pd 0.018 0.250 0.768
Pd2 Pd 0.248 0.500 0.402
```

## Properties
* raw total energy: -5.6088 eV per atom
* spin magnetization: 0.000 μB per atom
* DFT formation energy: -701 meV per atom

No. 3
Compound: NaPIrPt
Source: Alexandria via LeMat-Bulk
Functional: PBE-GGA
Structure: relaxed

```
data_NaPIrPt
_chemical_formula_sum 'Na2 P2 Ir2 Pt2'
_symmetry_space_group_name_H-M 'P 4/n m m'
_symmetry_Int_Tables_number 129
_cell_length_a 3.852
_cell_length_b 3.852
_cell_length_c 10.659
_cell_angle_alpha 90.00
_cell_angle_beta 90.00
_cell_angle_gamma 90.00
loop_
_symmetry_equiv_pos_as_xyz
'x,y,z'
'-x,-y,-z'
'-y+1/2,x,z'
'y+1/2,-x,-z'
'-x+1/2,-y+1/2,z'
'x+1/2,y+1/2,-z'
'y,-x+1/2,z'
'-y,x+1/2,-z'
'x+1/2,-y,-z'
'-x+1/2,y,z'
'-y,-x,-z'
'y,x,z'
'-x,y+1/2,-z'
'x,-y+1/2,z'
'y+1/2,x+1/2,-z'
'-y+1/2,-x+1/2,z'
loop_
_atom_site_label
_atom_site_type_symbol
_atom_site_fract_x
_atom_site_fract_y
_atom_site_fract_z
Na1 Na 0.250 0.250 0.218
P1 P 0.250 0.250 0.626
Ir1 Ir 0.250 0.750 0.500
Pt1 Pt 0.250 0.750 0.000
```

## Properties
* raw total energy: -5.7059 eV per atom
* spin magnetization: 0.000 μB per atom
* DFT formation energy: -298 meV per atom

No. 4
Compound: ZrMo2Cl
Source: Alexandria via LeMat-Bulk
Functional: PBE-GGA
Structure: relaxed

```
data_ZrMo2Cl
_chemical_formula_sum 'Zr2 Mo4 Cl2'
_symmetry_space_group_name_H-M 'C 1 m 1'
_symmetry_Int_Tables_number 8
_cell_length_a 9.347
_cell_length_b 3.161
_cell_length_c 5.377
_cell_angle_alpha 90.00
_cell_angle_beta 111.18
_cell_angle_gamma 90.00
loop_
_symmetry_equiv_pos_as_xyz
'x,y,z'
'x,-y,z'
'x+1/2,y+1/2,z'
'x+1/2,-y+1/2,z'
loop_
_atom_site_label
_atom_site_type_symbol
_atom_site_fract_x
_atom_site_fract_y
_atom_site_fract_z
Zr1 Zr 0.000 0.000 0.000
Mo1 Mo 0.059 0.500 0.523
Mo2 Mo 0.345 0.500 0.377
Cl1 Cl 0.255 0.000 0.920
```

## Properties
* raw total energy: -7.7997 eV per atom
* spin magnetization: 0.000 μB per atom